A plane-wave DFT calculation with PBE was carried out for crystalline NaSr3Bi2O at its relaxed geometry.

Lattice parameters (Å, degrees): 4.9057 5.0517 17.2389 90.00 90.00 90.00
Last column: nearest neighbours and their distance in Å.
Space group Immm (No. 71)
One atom of each set of equivalent atoms:
Na  0.0000  0.0000  0.0000  2 O 2.45
Sr  0.0000  0.0000  0.5000  2 O 2.53
Sr  0.0000  0.5000  0.3466  1 O 2.65
Bi  0.0000  0.5000  0.1431  7 Sr 3.48-3.53, 2 Na 3.53
O  0.0000  0.5000  0.5000  2 Na 2.45, 4 Sr 2.53-2.65

* Fermi-level density of states: 11.76 states/eV per cell
* uncorrected formation energy: -1.241 eV per atom